Computed, not measured: a relaxed structure of CrIrO6 at the GGA+U level of DFT.

Lattice parameters (Å, degrees): 5.102 4.908 8.678 55.18 90.00 90.00
Atoms (fractional coordinates):
Cr1 0.500 0.000 0.000
Cr2 0.000 0.000 0.500
Ir1 0.500 0.500 0.500
Ir2 0.000 0.500 0.000
O1 0.532 0.375 0.750
O2 0.824 0.112 0.062
O3 0.818 0.732 0.437
O4 0.318 0.268 0.063
O5 0.324 0.888 0.438
O6 0.032 0.625 0.750
O7 0.968 0.375 0.250
O8 0.676 0.112 0.562
O9 0.682 0.732 0.937
O10 0.176 0.888 0.938
O11 0.182 0.268 0.563
O12 0.468 0.625 0.250

Results
Final energy   -6.43 eV/atom
Volume   178.4 Å³ per cell
Space-group type   No. 14



Computed, not measured: a relaxed structure of CrIrO2 at the GGA+U level of DFT.

Lattice parameters (Å, degrees): 4.684 4.684 5.597 65.27 65.27 90.00
Atoms (fractional coordinates):
Cr1 0.500 0.500 0.000
Cr2 0.250 0.750 0.500
Ir1 0.000 0.000 0.000
Ir2 0.750 0.250 0.500
O1 0.576 0.125 0.250
O2 0.174 0.625 0.250
O3 0.375 0.424 0.750
O4 0.875 0.826 0.750

Results
Polymorph energy (0 for the lowest one)   1.222 eV per atom
Final energy   -6.52 eV/atom
Volume   99.0 Å³ per cell
Space-group type   No. 122



Computed, not measured: a relaxed structure of CrIrO3 at the GGA+U level of DFT.

Lattice parameters (Å, degrees): 3.884 3.884 3.884 90.00 90.00 90.00
Atoms (fractional coordinates):
Cr1 0.500 0.500 0.500
Ir1 0.000 0.000 0.000
O1 0.000 0.500 0.000
O2 0.000 0.000 0.500
O3 0.500 0.000 0.000

Results
Final energy   -6.61 eV/atom
Volume   58.6 Å³ per cell
Space-group type   No. 221



Computed, not measured: a relaxed structure of CrIrO3 at the GGA+U level of DFT.

Lattice parameters (Å, degrees): 3.709 3.709 3.709 90.00 90.00 90.00
Atoms (fractional coordinates):
Cr1 0.000 0.000 0.000
Ir1 0.500 0.500 0.500
O1 0.000 0.500 0.000
O2 0.000 0.000 0.500
O3 0.500 0.000 0.000

Results
Final energy   -5.99 eV/atom
Volume   51.0 Å³ per cell
Space-group type   No. 221



Computed, not measured: a relaxed structure of Cr2Ir2O5 at the GGA+U level of DFT.

Lattice parameters (Å, degrees): 3.421 3.421 8.825 90.00 90.00 90.00
Atoms (fractional coordinates):
Cr1 0.500 0.500 0.274
Cr2 0.500 0.500 0.726
Ir1 0.000 0.000 0.000
Ir2 0.000 0.000 0.500
O1 0.500 0.000 0.137
O2 0.500 0.000 0.863
O3 0.500 0.500 0.500
O4 0.000 0.500 0.137
O5 0.000 0.500 0.863

Results
Final energy   -6.79 eV/atom
Volume   103.3 Å³ per cell
Space-group type   No. 123



Computed, not measured: a relaxed structure of Cr3IrO at the GGA+U level of DFT.

Lattice parameters (Å, degrees): 4.864 4.864 4.864 90.00 90.00 90.00
Atoms (fractional coordinates):
Cr1 0.000 0.500 0.000
Cr2 0.000 0.000 0.500
Cr3 0.500 0.000 0.000
Ir1 0.000 0.000 0.000
O1 0.500 0.500 0.500

Results
Polymorph energy (0 for the lowest one)   1.466 eV per atom
Final energy   -5.99 eV/atom
Volume   115.1 Å³ per cell
Space-group type   No. 221